1.
Tb8RuPt2 (PBE-GGA, relaxed); formation enthalpy at 0 K = -562 meV per atom; calculated volume = 285 Å³/f.u.; E above lowest polymorph = 0 meV/atom; total moment = 0.00 μB/f.u.; electronic total energy = -5.87 eV/atom; symmetry = C2/m (12); density of states at the Fermi level = 11.40 states/eV/cell
1.0
-1.8877 1.4275 -4.4267
-5.8447 -3.1986 1.4608
-0.0346 7.3288 5.2241
Tb Ru Pt
8 1 2
direct
0.4087 0.5568 0.8175
0.6647 0.9669 0.3294
0.7973 0.6864 0.5945
0.9686 0.2094 0.9371
0.2027 0.3136 0.4055
0.3353 0.0331 0.6706
0.5913 0.4432 0.1825
0.0314 0.7906 0.0629
0.5000 0.0000 0.0000
0.8100 0.2839 0.6199
0.1900 0.7161 0.3801

2.
Ca3VGe (PBE-GGA, relaxed); formation enthalpy at 0 K = 739 meV per atom; calculated volume = 178 Å³/f.u.; E above lowest polymorph = 382 meV/atom; total moment = 4.72 μB/f.u.; electronic total energy = -3.21 eV/atom; symmetry = Pm-3m (221); density of states at the Fermi level = 3.10 states/eV/cell
1.0
-2.7676 -1.4576 -4.6708
3.4733 -4.3650 -0.6958
-3.4464 -3.2285 3.0496
Ge Ca V
1 3 1
direct
0.5000 0.5000 0.5000
0.0000 0.5000 0.0000
0.0000 0.0000 0.5000
0.5000 0.0000 0.0000
0.0000 0.0000 0.0000

3.
TiGaSb2Te (PBE-GGA, relaxed); calculated volume = 145 Å³/f.u.; formation energy (no corrections) = 0.786 eV/atom; E above lowest polymorph = 690 meV/atom; total moment = 0.01 μB/f.u.; electronic total energy = -3.68 eV/atom; symmetry = P4/mmm (123); density of states at the Fermi level = 8.54 states/eV/cell
1.0
-2.6530 -1.9377 -4.0415
-0.5076 -4.5363 2.5082
-4.5661 1.7139 2.1756
Sb Te Ga Ti
2 1 1 1
direct
0.0000 0.5000 0.0000
0.5000 0.0000 0.0000
0.0000 0.0000 0.5000
0.0000 0.0000 0.0000
0.5000 0.5000 0.5000

4.
Hf2GaReH (PBE-GGA, relaxed); calculated volume = 74 Å³/f.u.; total moment = 0.00 μB/f.u.; electronic total energy = -8.02 eV/atom; symmetry = P4/mmm (123); density of states at the Fermi level = 3.49 states/eV/cell
1.0
-3.1129 2.5153 -2.0396
-2.3624 -3.6989 -0.9561
-1.8199 0.3370 3.1931
Re Hf Ga H
1 2 1 1
direct
0.0000 0.0000 0.5000
0.0000 0.5000 0.0000
0.5000 0.0000 0.0000
0.5000 0.5000 0.5000
0.0000 0.0000 0.0000

5.
Sr2ReAs (PBE-GGA, relaxed); formation enthalpy at 0 K = 433 meV per atom; calculated volume = 100 Å³/f.u.; total moment = 0.00 μB/f.u.; electronic total energy = -4.68 eV/atom; symmetry = Pmmm (47); density of states at the Fermi level = 3.58 states/eV/cell
1.0
-1.4307 -1.3026 2.4463
-2.9558 -1.7083 -2.6384
4.2018 -6.0720 -0.7758
Re As Sr
1 1 2
direct
0.5000 0.5000 0.7500
0.5000 0.5000 0.2500
0.0000 0.0000 0.0060
0.0000 0.0000 0.4940

6.
CaAc2Sb4Pd3 (PBE-GGA, relaxed); calculated volume = 262 Å³/f.u.; formation energy (no corrections) = -0.876 eV/atom; total moment = 0.00 μB/f.u.; electronic total energy = -5.10 eV/atom; symmetry = P-4m2 (115); density of states at the Fermi level = 3.84 states/eV/cell
1.0
4.7096 0.0000 0.0000
0.0000 4.7096 0.0000
0.0000 0.0000 11.8001
Ca Ac Sb Pd
1 2 4 3
direct
0.5000 0.5000 0.5000
0.5000 0.0000 0.2323
0.0000 0.5000 0.7677
0.5000 0.5000 0.0000
0.0000 0.0000 0.0000
0.5000 0.0000 0.6551
0.0000 0.5000 0.3449
0.0000 0.0000 0.5000
0.5000 0.0000 0.8833
0.0000 0.5000 0.1167

7.
FeTcAs4 (PBE-GGA, relaxed); formation enthalpy at 0 K = 950 meV per atom; calculated volume = 108 Å³/f.u.; E above lowest polymorph = 909 meV/atom; total moment = 1.32 μB/f.u.; electronic total energy = -5.29 eV/atom; symmetry = F-43m (216); density of states at the Fermi level = 6.81 states/eV/cell
1.0
4.9380 -0.7179 -1.9157
2.9436 -4.1331 1.6798
1.0179 -4.0748 -3.3059
Fe Tc As
1 1 4
direct
0.7500 0.7500 0.7500
0.0000 0.0000 0.0000
0.8750 0.3750 0.3750
0.3750 0.3750 0.8750
0.3750 0.8750 0.3750
0.3750 0.3750 0.3750

8.
NdGa5Ni2Rh (PBE-GGA, relaxed); formation enthalpy at 0 K = -362 meV per atom; calculated volume = 153 Å³/f.u.; total moment = 0.00 μB/f.u.; electronic total energy = -4.67 eV/atom; symmetry = P4/mmm (123); density of states at the Fermi level = 4.15 states/eV/cell
1.0
-2.6534 -2.7298 2.6641
2.3933 -3.7184 -1.4264
4.5418 0.8528 5.3974
Nd Ga Ni Rh
1 5 2 1
direct
0.0000 0.0000 0.5000
0.0000 0.5000 0.1893
0.5000 0.0000 0.1893
0.0000 0.5000 0.8107
0.5000 0.0000 0.8107
0.5000 0.5000 0.5000
0.5000 0.5000 0.1776
0.5000 0.5000 0.8224
0.0000 0.0000 0.0000

9.
InReHg (PBE-GGA, relaxed); formation enthalpy at 0 K = 831 meV per atom; calculated volume = 59 Å³/f.u.; E above lowest polymorph = 95 meV/atom; total moment = 0.00 μB/f.u.; electronic total energy = -4.33 eV/atom; symmetry = I4mm (107); density of states at the Fermi level = 3.32 states/eV/cell
1.0
-2.6720 3.7879 5.4617
-4.7909 0.2258 5.3211
5.1112 -2.8781 -4.1121
Hg In Re
1 1 1
direct
0.0118 0.0118 0.0000
0.3195 0.3195 0.0000
0.6687 0.6687 0.0000

10.
La2CdGa3Ag4 (PBE-GGA, relaxed); formation enthalpy at 0 K = -337 meV per atom; calculated volume = 224 Å³/f.u.; total moment = 0.00 μB/f.u.; electronic total energy = -3.46 eV/atom; symmetry = P-4m2 (115); density of states at the Fermi level = 7.53 states/eV/cell
1.0
-0.2344 3.2853 -3.0726
-4.4619 0.2199 0.5755
1.3936 7.5183 7.9325
La Cd Ga Ag
2 1 3 4
direct
0.5000 0.0000 0.2404
0.0000 0.5000 0.7596
0.5000 0.5000 0.5000
0.0000 0.0000 0.5000
0.5000 0.0000 0.8720
0.0000 0.5000 0.1280
0.5000 0.5000 0.0000
0.0000 0.0000 0.0000
0.5000 0.0000 0.6421
0.0000 0.5000 0.3579

11.
SrNi4Cl (PBE-GGA, relaxed); calculated volume = 96 Å³/f.u.; formation energy (no corrections) = 0.156 eV/atom; total moment = 2.86 μB/f.u.; electronic total energy = -4.29 eV/atom; symmetry = F-43m (216); density of states at the Fermi level = 15.89 states/eV/cell
1.0
0.0000 3.6364 3.6364
3.6364 0.0000 3.6364
3.6364 3.6364 0.0000
Sr Ni Cl
1 4 1
direct
0.7500 0.7500 0.7500
0.8741 0.3753 0.3753
0.3753 0.3753 0.8741
0.3753 0.8741 0.3753
0.3753 0.3753 0.3753
0.0000 0.0000 0.0000

12.
Ac4Bi2PbI (PBE-GGA, relaxed); calculated volume = 325 Å³/f.u.; formation energy (no corrections) = -0.912 eV/atom; total moment = 0.00 μB/f.u.; electronic total energy = -4.59 eV/atom; symmetry = P2/m (10); density of states at the Fermi level = 2.39 states/eV/cell
1.0
-4.2170 0.1750 2.4610
-2.6102 -6.9382 -3.9794
2.2813 -6.7545 4.3894
Ac Bi Pb I
4 2 1 1
direct
0.0000 0.7504 0.7592
0.0000 0.2496 0.2408
0.5000 0.7597 0.2346
0.5000 0.2403 0.7654
0.0000 0.0000 0.0000
0.5000 0.0000 0.5000
0.5000 0.5000 0.0000
0.0000 0.5000 0.5000

13.
MgMoRu2 (PBE-GGA, relaxed); formation enthalpy at 0 K = 154 meV per atom; calculated volume = 61 Å³/f.u.; total moment = 0.00 μB/f.u.; electronic total energy = -7.59 eV/atom; symmetry = P2/m (10); density of states at the Fermi level = 3.86 states/eV/cell
1.0
4.1622 0.0000 0.0000
0.0000 2.7768 0.0116
0.0000 1.1523 5.3129
Mg Mo Ru
1 1 2
direct
0.5000 0.2500 0.2500
0.5000 0.7500 0.7500
0.0000 0.9257 0.9915
0.0000 0.5743 0.5085

14.
Pr2SmAl3 (PBE-GGA, relaxed); formation enthalpy at 0 K = -348 meV per atom; calculated volume = 156 Å³/f.u.; total moment = 0.00 μB/f.u.; electronic total energy = -4.60 eV/atom; symmetry = Cmmm (65); density of states at the Fermi level = 4.67 states/eV/cell
1.0
0.0642 8.0855 -1.9968
-0.2857 -5.2677 6.4449
7.4847 0.0282 0.3549
Pr Sm Al
4 2 6
direct
0.0000 0.0000 0.0000
0.0000 0.0000 0.5000
0.3348 0.6652 0.5000
0.6652 0.3348 0.5000
0.3329 0.6671 0.0000
0.6671 0.3329 0.0000
0.8316 0.1684 0.7552
0.5000 0.5000 0.2441
0.1684 0.8316 0.2448
0.8316 0.1684 0.2448
0.1684 0.8316 0.7552
0.5000 0.5000 0.7559

15.
Sc2Ga2Pd3 (PBE-GGA, relaxed); formation enthalpy at 0 K = -786 meV per atom; calculated volume = 123 Å³/f.u.; total moment = 0.00 μB/f.u.; electronic total energy = -5.68 eV/atom; symmetry = P-1 (2); density of states at the Fermi level = 3.44 states/eV/cell
1.0
-1.6378 2.9239 -2.7392
2.9447 -3.5056 -2.0948
-5.5114 -3.7841 2.6689
Sc Ga Pd
2 2 3
direct
0.8334 0.4660 0.2011
0.1666 0.5340 0.7989
0.3033 0.1941 0.4139
0.6967 0.8059 0.5861
0.0000 0.0000 0.0000
0.4382 0.1147 0.7612
0.5618 0.8853 0.2388

16.
AcCdFeC (PBE-GGA, relaxed); formation enthalpy at 0 K = 69 meV per atom; calculated volume = 79 Å³/f.u.; total moment = 0.00 μB/f.u.; electronic total energy = -5.61 eV/atom; symmetry = P4/nmm (129); density of states at the Fermi level = 6.93 states/eV/cell
1.0
-2.3707 -2.4485 1.4946
1.6269 0.4493 3.3167
-7.1980 8.4273 2.3890
Ac Cd Fe C
2 2 2 2
direct
0.7500 0.7500 0.2112
0.2500 0.2500 0.7888
0.2500 0.7500 0.5000
0.7500 0.2500 0.5000
0.7500 0.2500 0.0000
0.2500 0.7500 0.0000
0.7500 0.7500 0.9284
0.2500 0.2500 0.0716

17.
ScTa2SnH (PBE-GGA, relaxed); calculated volume = 122 Å³/f.u.; total moment = 0.00 μB/f.u.; electronic total energy = -5.37 eV/atom; symmetry = P4/mmm (123); density of states at the Fermi level = 4.12 states/eV/cell
1.0
4.7887 0.0000 0.0000
0.0000 5.3184 0.0000
0.0000 0.0000 4.7887
Sc H Sn Ta
1 1 1 2
direct
0.0000 0.0000 0.0000
0.5000 0.5000 0.5000
0.0000 0.5000 0.0000
0.0000 0.0000 0.5000
0.5000 0.0000 0.0000

18.
PrEuSn4 (PBE-GGA, relaxed); formation enthalpy at 0 K = -420 meV per atom; calculated volume = 174 Å³/f.u.; total moment = 7.99 μB/f.u.; electronic total energy = -5.60 eV/atom; symmetry = F-43m (216); density of states at the Fermi level = 4.96 states/eV/cell
1.0
-4.9163 0.6345 -3.8364
-3.8082 -4.8678 -1.0457
-5.8169 0.0132 2.3356
Eu Pr Sn
1 1 4
direct
0.0000 0.0000 0.0000
0.2500 0.2500 0.2500
0.6248 0.6248 0.1257
0.6248 0.1257 0.6248
0.6248 0.6248 0.6248
0.1257 0.6248 0.6248

19.
NaCa6Ac2 (PBE-GGA, relaxed); formation enthalpy at 0 K = 62 meV per atom; calculated volume = 383 Å³/f.u.; total moment = 0.08 μB/f.u.; electronic total energy = -2.33 eV/atom; symmetry = P-6m2 (187); density of states at the Fermi level = 13.36 states/eV/cell
1.0
-1.8893 -2.2779 2.5417
3.7719 -0.6393 -0.7630
7.4209 17.9743 21.6251
Na Ca Ac
1 6 2
direct
0.3333 0.6667 0.0000
0.6667 0.3333 0.8934
0.3333 0.6667 0.4371
0.3333 0.6667 0.7855
0.3333 0.6667 0.2145
0.3333 0.6667 0.5629
0.6667 0.3333 0.1066
0.6667 0.3333 0.3257
0.6667 0.3333 0.6743

20.
Li5In3 (PBE-GGA, relaxed); formation enthalpy at 0 K = -255 meV per atom; calculated volume = 153 Å³/f.u.; E above lowest polymorph = 20 meV/atom; total moment = 0.00 μB/f.u.; electronic total energy = -2.48 eV/atom; symmetry = P-1 (2); density of states at the Fermi level = 3.71 states/eV/cell
1.0
-6.2779 -4.4555 -0.6807
7.2513 -1.0126 0.8325
-0.7814 3.5490 7.8236
In Li
6 10
direct
0.7384 0.8384 0.0221
0.2607 0.1616 0.9780
0.2673 0.0462 0.5808
0.7320 0.9538 0.4192
0.2274 0.7478 0.8310
0.7717 0.2522 0.1690
0.2433 0.6499 0.4818
0.7559 0.3501 0.5181
0.7533 0.1102 0.7790
0.2458 0.8898 0.2211
0.7540 0.6105 0.2817
0.2452 0.3895 0.7183
0.7477 0.4695 0.9049
0.2513 0.5304 0.0950
0.2400 0.2839 0.3414
0.7593 0.7162 0.6586